[1]
The following is a DFT calculation (GGA-PBE) of a relaxed structure of YAl2F2.

a = 3.4231 Å, b = 3.4231 Å, c = 8.4239 Å
α = 78.28°, β = 78.28°, γ = 90.00°
Fractional coordinates of all 5 atoms:
Al: 0.7500 0.2500 0.5000
F: 0.5703 0.5703 0.8594
Y: 0.0000 0.0000 0.0000
F: 0.4297 0.4297 0.1406
Al: 0.2500 0.7500 0.5000

Values from the calculation:
Formation energy without anion corrections   -1.23 eV/atom
Polymorph energy (0 for the lowest one)   564 meV/atom
V   95 Å³/f.u.
DOS at the Fermi energy   0.448 states/eV per atom

[2]
The following is a DFT calculation (GGA-PBE) of a relaxed structure of Li5MgBi6.

a = 5.4660 Å, b = 6.8505 Å, c = 8.9755 Å
α = 112.42°, β = 107.71°, γ = 90.05°
Fractional coordinates of all 12 atoms:
Li: 0.6666 0.6666 0.3332
Bi: 0.4999 0.7488 0.0000
Li: 0.3356 0.8356 0.6713
Bi: 0.8313 0.5801 0.6625
Mg: 0.0000 0.0000 0.0000
Li: 0.3334 0.3334 0.6668
Li: 0.0000 0.5000 0.0000
Bi: 0.8312 0.0824 0.6625
Bi: 0.5001 0.2512 0.0000
Bi: 0.1687 0.4199 0.3375
Bi: 0.1688 0.9176 0.3375
Li: 0.6644 0.1644 0.3287

Values from the calculation:
E_form   -320.2 meV per atom
V   293 Å³/f.u.
DOS at the Fermi energy   0.245 states/eV per atom

[3]
The following is a DFT calculation (GGA-PBE) of a relaxed structure of ScSnS2Cl.

a = 5.0911 Å, b = 5.0911 Å, c = 5.0275 Å
α = 90.00°, β = 90.00°, γ = 90.00°
Site moments in Bohr magnetons follow the coordinates.
Fractional coordinates of all 5 atoms:
S: 0.5000 0.0000 0.0000  -0.02
Sc: 0.5000 0.5000 0.5000  0.78
Sn: 0.0000 0.0000 0.0000  -0.01
Cl: 0.0000 0.0000 0.5000  0.00
S: 0.0000 0.5000 0.0000  -0.02

Values from the calculation:
Formation energy without anion corrections   -0.24 eV/atom
Polymorph energy (0 for the lowest one)   786 meV/atom
V   130 Å³/f.u.
DOS at the Fermi energy   0.836 states/eV per atom

[4]
The following is a DFT calculation (GGA-PBE) of a relaxed structure of KPd4Pb.

a = 4.2400 Å, b = 8.3940 Å, c = 8.1032 Å
α = 90.00°, β = 90.00°, γ = 90.00°
Fractional coordinates of all 12 atoms:
Pd: 0.0000 0.0000 0.5000
K: 0.0000 0.6466 0.7500
Pd: 0.5000 0.9573 0.7500
Pd: 0.5000 0.2132 0.9642
Pb: 0.0000 0.7733 0.2500
Pb: 0.0000 0.2267 0.7500
K: 0.0000 0.3534 0.2500
Pd: 0.5000 0.2132 0.5358
Pd: 0.5000 0.7868 0.0358
Pd: 0.0000 0.0000 0.0000
Pd: 0.5000 0.0427 0.2500
Pd: 0.5000 0.7868 0.4642

Values from the calculation:
E_form   -40.6 meV per atom
Polymorph energy (0 for the lowest one)   65 meV/atom
V   144 Å³/f.u.
DOS at the Fermi energy   0.455 states/eV per atom

[5]
The following is a DFT calculation (GGA-PBE) of a relaxed structure of BeCoRe4.

a = 5.1043 Å, b = 5.1043 Å, c = 5.1043 Å
α = 60.00°, β = 60.00°, γ = 60.00°
Site moments in Bohr magnetons follow the coordinates.
Fractional coordinates of all 6 atoms:
Co: 0.0000 0.0000 0.0000  1.69
Re: 0.8746 0.3751 0.3751  0.03
Re: 0.3751 0.3751 0.3751  0.03
Re: 0.3751 0.8746 0.3751  0.03
Be: 0.7500 0.7500 0.7500  0.00
Re: 0.3751 0.3751 0.8746  0.03

Values from the calculation:
E_form   788.8 meV per atom
V   94 Å³/f.u.
DOS at the Fermi energy   0.979 states/eV per atom

[6]
The following is a DFT calculation (GGA-PBE) of a relaxed structure of HoLuPuIn.

a = 5.3780 Å, b = 5.3780 Å, c = 5.3780 Å
α = 60.00°, β = 60.00°, γ = 60.00°
Site moments in Bohr magnetons follow the coordinates.
Fractional coordinates of all 4 atoms:
Ho: 0.7500 0.7500 0.7500  0.24
In: 0.5000 0.5000 0.5000  -0.03
Lu: 0.0000 0.0000 0.0000  0.34
Pu: 0.2500 0.2500 0.2500  5.53

Values from the calculation:
E_form   -43.5 meV per atom
V   110 Å³/f.u.
DOS at the Fermi energy   2.021 states/eV per atom

[7]
The following is a DFT calculation (GGA-PBE) of a relaxed structure of Ga2Fe2Ni15.

a = 6.2060 Å, b = 6.2060 Å, c = 6.2060 Å
α = 81.60°, β = 81.60°, γ = 81.60°
Site moments in Bohr magnetons follow the coordinates.
Fractional coordinates of all 19 atoms:
Ni: 0.5000 0.0000 0.0000  0.42
Ni: 0.3388 0.3388 0.8299  0.50
Ni: 0.3294 0.0000 0.6706  0.49
Ni: 0.0000 0.6706 0.3294  0.49
Ni: 0.6706 0.3294 0.0000  0.49
Ni: 0.6612 0.6612 0.1701  0.50
Fe: 0.3931 0.3931 0.3931  3.06
Ni: 0.0000 0.3294 0.6706  0.49
Ga: 0.1111 0.1111 0.1111  -0.03
Ni: 0.0000 0.5000 0.0000  0.42
Ni: 0.0000 0.0000 0.5000  0.42
Fe: 0.6069 0.6069 0.6069  3.06
Ni: 0.3388 0.8299 0.3388  0.50
Ni: 0.1701 0.6612 0.6612  0.50
Ni: 0.8299 0.3388 0.3388  0.50
Ni: 0.3294 0.6706 0.0000  0.49
Ga: 0.8889 0.8889 0.8889  -0.03
Ni: 0.6706 0.0000 0.3294  0.49
Ni: 0.6612 0.1701 0.6612  0.50

Values from the calculation:
E_form   91.2 meV per atom
Polymorph energy (0 for the lowest one)   23 meV/atom
V   232 Å³/f.u.
DOS at the Fermi energy   1.206 states/eV per atom

[8]
The following is a DFT calculation (GGA-PBE) of a relaxed structure of Pm2Pr3Sn.

a = 3.8534 Å, b = 8.9585 Å, c = 11.6115 Å
α = 89.25°, β = 90.00°, γ = 90.00°
Fractional coordinates of all 12 atoms:
Sn: 0.2500 0.8462 0.7334
Pr: 0.2500 0.3989 0.7540
Pm: 0.7500 0.0801 0.8878
Pr: 0.7500 0.6011 0.2460
Sn: 0.7500 0.1538 0.2666
Pr: 0.7500 0.6618 0.9250
Pr: 0.7500 0.0998 0.5999
Pm: 0.2500 0.9199 0.1122
Pr: 0.2500 0.9002 0.4001
Pr: 0.2500 0.3382 0.0750
Pm: 0.2500 0.3590 0.4290
Pm: 0.7500 0.6410 0.5710

Values from the calculation:
E_form   -198.1 meV per atom
Polymorph energy (0 for the lowest one)   64 meV/atom
V   200 Å³/f.u.
DOS at the Fermi energy   1.356 states/eV per atom